VASP calculation (GGA-PBE) on a relaxed LiLaBr3 crystal.

Geometry as CIF:
```
data_LiLaBr3
_chemical_formula_sum 'Li4 La4 Br12'
_cell_length_a 7.432
_cell_length_b 7.190
_cell_length_c 12.176
_cell_angle_alpha 90.00
_cell_angle_beta 116.31
_cell_angle_gamma 90.00
_symmetry_space_group_name_H-M 'P 1 21/c 1'
_symmetry_Int_Tables_number 14
_symmetry_space_group_name_Hall '-P 2ybc'
loop_
_atom_site_label
_atom_site_type_symbol
_atom_site_fract_x
_atom_site_fract_y
_atom_site_fract_z
Li1 Li 0.231 0.155 0.379
La1 La 0.369 0.632 0.278
Br1 Br 0.016 0.570 0.712
Br2 Br 0.228 0.178 0.587
Br3 Br 0.417 0.706 0.556
```

* energy relative to the elements, uncorrected: -754 kJ/mol of formula units
* E_tot: -3.935 eV/atom
* volume: 583 Å³ per cell
* E above lowest polymorph: 0 meV per atom

=====

VASP calculation (GGA-PBE) on a relaxed Cr2CdC crystal.

Geometry as CIF:
```
data_Cr2CdC
_chemical_formula_sum 'Cr8 Cd4 C4'
_cell_length_a 6.352
_cell_length_b 6.352
_cell_length_c 6.017
_cell_angle_alpha 90.00
_cell_angle_beta 90.00
_cell_angle_gamma 90.00
_symmetry_space_group_name_H-M 'I -4 2 d'
_symmetry_Int_Tables_number 122
_symmetry_space_group_name_Hall 'I -4 2bw'
loop_
_atom_site_label
_atom_site_type_symbol
_atom_site_fract_x
_atom_site_fract_y
_atom_site_fract_z
Cr1 Cr 0.137 0.250 0.125
Cd1 Cd 0.000 0.000 0.500
C1 C 0.000 0.000 0.000
```

* E_tot: -6.710 eV/atom
* energy of formation from the pure elements: 0.64 eV/atom
* volume: 243 Å³ per cell
* Fermi-level density of states: 1.8 states/eV/f.u.

=====

VASP calculation (GGA-PBE) on a relaxed CaIn2GaCo crystal.

Geometry as CIF:
```
data_CaIn2GaCo
_chemical_formula_sum 'Ca1 In2 Ga1 Co1'
_cell_length_a 4.953
_cell_length_b 4.953
_cell_length_c 4.638
_cell_angle_alpha 90.00
_cell_angle_beta 90.00
_cell_angle_gamma 90.00
_symmetry_space_group_name_H-M 'P 4/m m m'
_symmetry_Int_Tables_number 123
_symmetry_space_group_name_Hall '-P 4 2'
loop_
_atom_site_label
_atom_site_type_symbol
_atom_site_fract_x
_atom_site_fract_y
_atom_site_fract_z
Ca1 Ca 0.000 0.000 0.000
In1 In 0.000 0.500 0.500
Ga1 Ga 0.500 0.500 0.000
Co1 Co 0.500 0.500 0.500
```

* E_tot: -3.706 eV/atom
* energy of formation from the pure elements: -0.18 eV/atom
* volume: 114 Å³ per cell
* Fermi-level density of states: 4.6 states/eV/f.u.